Here is VIrO after structural relaxation from the Alexandria database. Energies are from PBE+U.

```
VIrO
1.0
3.9771 0.0000 0.0000
1.9886 3.4443 0.0000
1.9886 1.1481 6.7321
O Ir V
2 2 2
Direct
0.7028 0.7028 0.8916
0.2972 0.2972 0.1084
0.8364 0.8364 0.4908
0.1636 0.1636 0.5092
0.6059 0.6059 0.1823
0.3941 0.3941 0.8177
```

Computed properties:
**Electronic total energy**: -7.318 eV per atom
**Magnetic moment**: 0.6501 μB per atom